Density functional theory data (PBE) for an optimized crystal structure of TmThSc.

The structure belongs to space group P3m1 (No. 156); the cell edges are 3.4889, 3.4889 and 8.2472 Å and the angles 90.00°, 90.00° and 120.00°. The distinct sites, in fractional coordinates, are Tm at (0.0000, 0.0000, 0.0000), Th at (0.3333, 0.6667, 0.6563) and Sc at (0.6667, 0.3333, 0.3338).

The value obtained for the total energy is -6.04 eV per atom. The value obtained for the energy above the most stable polymorph in this dataset is 3 meV/atom. For the formation energy, the calculation gives 38 meV per atom. For the total moment, the calculation gives 0.00 μB per cell.